# NbTcHg3

An optimized crystal structure of NbTcHg3 (PBE, Alexandria).

## Properties
* Fermi-level density of states: 0.53 states/eV per atom
* offset from the most stable computed form: 0.0000 eV/atom
* magnetic moment: 2.138 μB per formula unit
* ΔE_f: 1.40 eV/atom
* energy: -2.872 eV per atom

a = 5.193 Å, b = 5.193 Å, c = 5.193 Å
α = 90.00°, β = 90.00°, γ = 90.00°
Space group Pm-3m (No. 221)
Symmetry-distinct sites (fractional):
Nb: 0.000 0.000 0.000 [1 per cell]
Tc: 0.500 0.500 0.500 [1 per cell]
Hg: 0.000 0.500 0.500 [3 per cell]